Li2FeCoO4: relaxed, GGA+U.

Unit cell a=5.8326 b=5.8326 c=5.8326 alpha=120.25 beta=119.42 gamma=90.29
Last column: nearest neighbours and their distance in Å.
Element x y z (fractional)
Li 0.0000 0.0000 0.0000  6 O 2.09-2.11
Li 0.5000 0.0000 0.0000  6 O 2.14-2.17
Li 0.5000 0.0000 0.5000  6 O 2.09-2.11
Li 0.5000 0.5000 0.5000  6 O 2.14-2.17
Fe 0.0000 0.5000 0.5000  6 O 2.03
Fe 0.5000 0.5000 0.0000  6 O 2.03
Co 0.0000 0.0000 0.5000  6 O 1.97
Co 0.0000 0.5000 0.0000  6 O 1.97
O 0.2217 0.7465 0.4752  2 Co 1.97, 1 Fe 2.03, 3 Li 2.09-2.17
O 0.2287 0.2535 0.9752  2 Co 1.97, 1 Fe 2.03, 3 Li 2.09-2.17
O 0.2395 0.2487 0.5092  1 Co 1.97, 2 Fe 2.03, 3 Li 2.11-2.14
O 0.2395 0.7303 0.9908  1 Co 1.97, 2 Fe 2.03, 3 Li 2.11-2.14
O 0.7605 0.2697 0.0092  1 Co 1.97, 2 Fe 2.03, 3 Li 2.11-2.14
O 0.7605 0.7513 0.4908  1 Co 1.97, 2 Fe 2.03, 3 Li 2.11-2.14
O 0.7713 0.7465 0.0248  2 Co 1.97, 1 Fe 2.03, 3 Li 2.09-2.17
O 0.7783 0.2535 0.5248  2 Co 1.97, 1 Fe 2.03, 3 Li 2.09-2.17

Computed properties:
* energy above the most stable polymorph in this dataset: 0 meV/atom
* symmetry: Imma, No. 74
* density of states at the Fermi level: 0.000 states/eV per atom

***

Li4Fe3CoO8: relaxed, GGA+U.

Unit cell a=5.1171 b=5.6073 c=6.3964 alpha=91.78 beta=91.87 gamma=90.74
Last column: nearest neighbours and their distance in Å.
Element x y z (fractional)
Li 0.0000 0.0000 0.0000  4 O 1.96-2.05
Li 0.0020 0.5042 0.2433  4 O 2.02-2.07
Li 0.5020 0.6730 0.4900  4 O 1.98-2.06
Li 0.5092 0.1700 0.7512  4 O 1.98-2.05
Fe 0.0162 0.0130 0.5060  4 O 1.89-1.91
Fe 0.4944 0.6636 0.9861  4 O 1.89-1.90
Fe 0.5066 0.1718 0.2446  4 O 1.90
Co 0.0042 0.5037 0.7381  4 O 1.86-1.89
O 0.3732 0.5029 0.7339  1 Co 1.89, 1 Fe 1.90, 2 Li 1.98-2.01
O 0.3835 0.0162 0.4828  2 Fe 1.89-1.90, 2 Li 1.98-2.03
O 0.3959 0.4920 0.2240  2 Fe 1.90, 2 Li 2.01-2.03
O 0.3955 0.9875 0.0035  2 Fe 1.89-1.90, 2 Li 2.03
O 0.8643 0.6547 0.9776  1 Co 1.89, 1 Fe 1.90, 2 Li 2.03-2.05
O 0.8781 0.1623 0.2651  2 Fe 1.90, 2 Li 2.02
O 0.9038 0.6909 0.5132  1 Co 1.87, 1 Fe 1.89, 2 Li 2.06-2.07
O 0.9092 0.1827 0.7524  1 Co 1.86, 1 Fe 1.91, 2 Li 1.96-2.05

Computed properties:
* energy above the most stable polymorph in this dataset: 64 meV/atom
* symmetry: P1, No. 1

***

Li3Fe3CoO8: relaxed, GGA+U.

Unit cell a=5.9562 b=5.9562 c=5.9562 alpha=59.53 beta=59.53 gamma=59.53
Last column: nearest neighbours and their distance in Å.
Element x y z (fractional)
Li 0.0000 0.5000 0.5000  6 O 2.16
Li 0.5000 0.0000 0.5000  6 O 2.16
Li 0.5000 0.5000 0.0000  6 O 2.16
Fe 0.0000 0.0000 0.5000  6 O 2.04-2.06
Fe 0.0000 0.5000 0.0000  6 O 2.04-2.06
Fe 0.5000 0.0000 0.0000  6 O 2.04-2.06
Co 0.5000 0.5000 0.5000  6 O 1.91
O 0.2425 0.2425 0.2425  3 Fe 2.04, 3 Li 2.16
O 0.2602 0.7277 0.7277  1 Co 1.91, 2 Fe 2.06
O 0.2723 0.2723 0.7398  1 Co 1.91, 2 Fe 2.06
O 0.2723 0.7398 0.2723  1 Co 1.91, 2 Fe 2.06
O 0.7277 0.2602 0.7277  1 Co 1.91, 2 Fe 2.06
O 0.7277 0.7277 0.2602  1 Co 1.91, 2 Fe 2.06
O 0.7398 0.2723 0.2723  1 Co 1.91, 2 Fe 2.06
O 0.7575 0.7575 0.7575  3 Fe 2.04, 3 Li 2.16

Computed properties:
* energy above the most stable polymorph in this dataset: 0 meV/atom
* symmetry: R-3m, No. 166

***

Li4FeCo9O20: relaxed, GGA+U.

Unit cell a=4.9091 b=7.5170 c=10.0671 alpha=94.35 beta=94.27 gamma=109.04
Last column: nearest neighbours and their distance in Å.
Element x y z (fractional)
Li 0.0000 0.0000 0.0000  4 O 2.03-2.22
Li 0.0604 0.5241 0.5085  4 O 2.04-2.23
Li 0.2814 0.9629 0.5095  6 O 2.15-2.25
Li 0.3444 0.4897 0.0118  4 O 2.08-2.13
Fe 0.4938 0.1174 0.2511  6 O 1.98-2.04
Co 0.0631 0.7851 0.7571  6 O 1.88-1.92
Co 0.0896 0.3136 0.2593  6 O 1.86-1.94
Co 0.2602 0.1860 0.7552  6 O 1.88-1.91
Co 0.2841 0.7107 0.2585  6 O 1.86-1.90
Co 0.4626 0.5858 0.7528  6 O 1.90-1.94
Co 0.6603 0.9849 0.7542  6 O 1.90-1.93
Co 0.6895 0.5153 0.2607  6 O 1.89-1.94
Co 0.8606 0.3850 0.7586  6 O 1.88-1.92
Co 0.8844 0.9084 0.2616  6 O 1.86-1.91
O 0.0042 0.4985 0.1631  3 Co 1.87-1.92
O 0.1529 0.5964 0.8534  3 Co 1.89-1.92
O 0.1605 0.1186 0.3579  2 Co 1.86-1.94, 1 Fe 2.03
O 0.1661 0.3720 0.6593  3 Co 1.89-1.91, 1 Li 2.10
O 0.1717 0.8846 0.1580  2 Co 1.86-1.90, 1 Fe 2.04
O 0.3434 0.0013 0.8521  3 Co 1.89-1.93
O 0.3633 0.7713 0.6544  3 Co 1.89-1.94
O 0.3698 0.5288 0.3567  3 Co 1.88-1.93
O 0.3885 0.3092 0.1547  2 Co 1.88-1.94, 1 Fe 1.98, 1 Li 2.10
O 0.5443 0.4005 0.8523  3 Co 1.89-1.91, 1 Li 2.12
O 0.5658 0.9169 0.3563  2 Co 1.86-1.91, 1 Fe 2.01
O 0.5675 0.1716 0.6597  3 Co 1.88-1.92
O 0.5961 0.6960 0.1624  3 Co 1.89-1.90, 1 Li 2.08
O 0.7549 0.8020 0.8511  3 Co 1.88-1.92, 1 Li 2.03
O 0.7834 0.5685 0.6592  3 Co 1.88-1.93
O 0.7952 0.3354 0.3592  2 Co 1.86-1.91, 1 Fe 1.99, 1 Li 2.04
O 0.8200 0.0933 0.1555  2 Co 1.91-1.92, 1 Fe 1.98, 1 Li 2.04
O 0.9537 0.1985 0.8539  3 Co 1.89-1.92
O 0.9808 0.9701 0.6588  3 Co 1.89-1.93
O 0.9829 0.7276 0.3619  3 Co 1.90-1.92

Computed properties:
* uncorrected energy: -5.76 eV per atom
* symmetry: P1, No. 1

***

Number 1: total moment 5.0 μB/f.u.. Number 2: total moment 6.9 μB/f.u.. Number 3: total moment 16.0 μB/f.u.. Number 4: total moment 2.9 μB/f.u..